Record 1
Material: Dy2TmSc3
Method: DFT, PBE-GGA
State: relaxed

Space-group type = P2_1/m
Calculated formation energy = 0.051 eV/atom
DFT total energy = -5.3936 eV/atom

Lattice parameters (Å, degrees): 3.4267 5.9372 16.4547 96.92 90.00 90.00
Fractional coordinates of all 12 atoms:
Sc (0.7500, 0.8604, 0.3321)
Tm (0.2500, 0.5274, 0.8337)
Tm (0.7500, 0.4726, 0.1663)
Sc (0.7500, 0.7485, 0.9995)
Sc (0.2500, 0.1396, 0.6679)
Dy (0.2500, 0.9715, 0.1663)
Sc (0.2500, 0.3611, 0.3317)
Sc (0.2500, 0.2515, 0.0005)
Dy (0.7500, 0.0285, 0.8337)
Dy (0.2500, 0.7499, 0.5000)
Sc (0.7500, 0.6389, 0.6683)
Dy (0.7500, 0.2501, 0.5000)



Record 2
Material: LaZrIn2
Method: DFT, PBE-GGA
State: relaxed

Space-group type = Cmmm
Calculated formation energy = -0.275 eV/atom
DFT total energy = -5.0129 eV/atom

Lattice parameters (Å, degrees): 5.6639 7.4584 3.3901 62.92 90.03 121.48
Fractional coordinates of all 4 atoms:
Zr (0.5000, 0.0000, 0.5000)
In (0.0000, 0.0000, 0.0000)
In (0.0000, 0.5000, 0.5000)
La (0.5000, 0.5000, 0.0000)



Record 3
Material: GdPtRh
Method: DFT, PBE-GGA
State: relaxed

Space-group type = P-6m2
Calculated formation energy = -0.814 eV/atom
DFT total energy = -9.9714 eV/atom

Lattice parameters (Å, degrees): 3.7853 4.3608 4.3608 120.00 90.00 90.00
Each line ends with the local moment (μB).
Fractional coordinates of all 3 atoms:
Pt (0.1667, 0.0000, 0.0000)  -0.01
Gd (0.6666, 0.6667, 0.3333)  6.96
Rh (0.1667, 0.3333, 0.6667)  -0.05



Record 4
Material: YPu4As5
Method: DFT, PBE-GGA
State: relaxed

Space-group type = C2/m
Calculated formation energy = -1.128 eV/atom
DFT total energy = -9.8315 eV/atom

Lattice parameters (Å, degrees): 4.1374 7.1550 9.2395 75.03 77.06 73.19
Each line ends with the local moment (μB).
Fractional coordinates of all 10 atoms:
As (0.0000, 0.5000, 0.5000)  -0.16
As (0.6016, 0.6964, 0.1005)  -0.12
Pu (0.5993, 0.2000, 0.6013)  5.00
As (0.3984, 0.3036, 0.8995)  -0.12
Pu (0.7995, 0.6012, 0.7998)  5.00
Y (0.0000, 0.0000, 0.0000)  -0.02
Pu (0.4007, 0.8000, 0.3987)  5.00
Pu (0.2005, 0.3988, 0.2002)  5.00
As (0.2005, 0.9001, 0.6990)  -0.14
As (0.7995, 0.0999, 0.3010)  -0.14



Record 5
Material: Cd3C2
Method: DFT, PBE-GGA
State: relaxed

Space-group type = I-42d
Calculated formation energy = 1.432 eV/atom
DFT total energy = -2.8063 eV/atom

Lattice parameters (Å, degrees): 6.4836 6.0973 6.0965 64.24 57.89 57.87
Fractional coordinates of all 10 atoms:
C (0.0250, 0.4430, 0.0070)
Cd (0.5253, 0.6427, 0.8073)
C (0.8070, 0.2250, 0.7250)
C (0.5250, 0.0070, 0.4430)
C (0.2430, 0.7250, 0.2250)
Cd (0.9000, 0.1000, 0.1000)
Cd (0.4427, 0.2254, 0.7247)
Cd (0.0246, 0.8073, 0.6427)
Cd (0.1500, 0.3500, 0.3500)
Cd (0.6073, 0.7247, 0.2254)



Record 6
Material: NaTbPm4Se8
Method: DFT, PBE-GGA
State: relaxed

Space-group type = R3m
DFT total energy = -5.5394 eV/atom
ΔE_f (raw) = -1.766 eV per atom

Lattice parameters (Å, degrees): 8.6623 8.6623 8.6058 59.78 59.78 60.00
Fractional coordinates of all 14 atoms:
Pm (0.6241, 0.6241, 0.1278)
Se (0.2373, 0.7796, 0.7457)
Tb (0.0049, 0.0049, 0.9853)
Se (0.7796, 0.2373, 0.7457)
Se (0.2409, 0.2409, 0.2772)
Se (0.7579, 0.7579, 0.7263)
Pm (0.4863, 0.0045, 0.5047)
Pm (0.0045, 0.4863, 0.5047)
Se (0.7616, 0.2234, 0.2535)
Se (0.2373, 0.2373, 0.7457)
Se (0.2234, 0.7616, 0.2535)
Na (0.3761, 0.3761, 0.8717)
Pm (0.0045, 0.0045, 0.5047)
Se (0.7616, 0.7616, 0.2535)



Record 7
Material: Rb2HgC
Method: DFT, PBE-GGA
State: relaxed

Space-group type = I-42d
Calculated formation energy = 0.746 eV/atom
DFT total energy = -2.1195 eV/atom

Lattice parameters (Å, degrees): 12.9075 12.9075 9.3524 46.36 46.36 90.00
Fractional coordinates of all 8 atoms:
Rb (0.8750, 0.6608, 0.7500)
Rb (0.3750, 0.5892, 0.7500)
Rb (0.4108, 0.1250, 0.2500)
Rb (0.3392, 0.6250, 0.2500)
Hg (0.7500, 0.2500, 0.5000)
Hg (0.0000, 0.0000, 0.0000)
C (0.2500, 0.7500, 0.5000)
C (0.5000, 0.5000, 0.0000)



Record 8
Material: ErTh2Si
Method: DFT, PBE-GGA
State: relaxed

Space-group type = R-3m
DFT total energy = -6.0791 eV/atom
ΔE_f (raw) = 0.127 eV per atom

Lattice parameters (Å, degrees): 3.7984 3.7984 10.6796 79.76 79.76 60.00
Fractional coordinates of all 4 atoms:
Th (0.1086, 0.1086, 0.6743)
Er (0.0000, 0.0000, 0.0000)
Si (0.5000, 0.5000, 0.5000)
Th (0.8914, 0.8914, 0.3257)